First-principles (PBE) data for a geometry-optimized Tm3CuPt structure, as listed in Alexandria via LeMat-Bulk.

## Properties
Calculated volume   24.17 Å³/atom
E   -5.277 eV per atom
Space group   Pmmn
Energy relative to the elements   -54.6 kJ per mole of atoms

Lattice parameters (Å, degrees): 3.739 6.904 9.360 90.00 90.00 90.00
Atoms (fractional coordinates):
Tm  0.750  0.750  0.053
Tm  0.250  0.250  0.947
Tm  0.750  0.992  0.685
Tm  0.750  0.508  0.685
Tm  0.250  0.008  0.315
Tm  0.250  0.492  0.315
Cu  0.750  0.750  0.433
Cu  0.250  0.250  0.567
Pt  0.750  0.250  0.166
Pt  0.250  0.750  0.834

First-principles (PBE) data for a geometry-optimized Be4CuC2 structure, as listed in Alexandria via LeMat-Bulk.

## Properties
Calculated volume   10.46 Å³/atom
E   -3.848 eV per atom
Space group   I4/mmm
Energy relative to the elements   144.9 kJ per mole of atoms

Lattice parameters (Å, degrees): 3.772 3.772 5.796 71.01 71.01 90.00
Atoms (fractional coordinates):
Be  0.794  0.794  0.412
Be  0.206  0.206  0.588
Be  0.000  0.500  0.000
Be  0.500  0.000  0.000
C  0.628  0.628  0.744
C  0.372  0.372  0.256
Cu  0.000  0.000  0.000

First-principles (PBE) data for a geometry-optimized PmNdNiAu structure, as listed in Alexandria via LeMat-Bulk.

## Properties
Calculated volume   24.30 Å³/atom
E   -5.188 eV per atom
Space group   Amm2
Energy relative to the elements   -52.4 kJ per mole of atoms

Lattice parameters (Å, degrees): 3.919 4.607 5.730 90.00 110.00 90.00
Atoms (fractional coordinates):
Pm  0.862  0.500  0.725
Nd  0.141  0.000  0.282
Ni  0.420  0.000  0.840
Au  0.577  0.500  0.153

First-principles (PBE) data for a geometry-optimized BiRhSe2 structure, as listed in Alexandria via LeMat-Bulk.

## Properties
Calculated volume   23.17 Å³/atom
E   -4.571 eV per atom
Space group   I4_1/amd
Raw formation energy   -1.97 kJ/mol of atoms

Lattice parameters (Å, degrees): 5.512 5.512 7.239 67.62 67.62 90.00
Atoms (fractional coordinates):
Rh  0.500  0.500  0.000
Rh  0.250  0.750  0.500
Bi  0.000  0.000  0.000
Bi  0.750  0.250  0.500
Se  0.704  0.704  0.593
Se  0.046  0.546  0.907
Se  0.296  0.296  0.407
Se  0.454  0.954  0.093

First-principles (PBE) data for a geometry-optimized CsTl2ReP structure, as listed in Alexandria via LeMat-Bulk.

## Properties
Calculated volume   39.91 Å³/atom
E   -3.249 eV per atom
Space group   P4/mmm
Energy relative to the elements   138.9 kJ per mole of atoms

Lattice parameters (Å, degrees): 5.418 6.797 5.418 90.00 90.00 90.00
Last column: magnetic moment on the atom in μB.
Atoms (fractional coordinates):
Cs  0.000  0.500  0.000  0.00
Re  0.500  0.500  0.500  3.56
Tl  0.000  0.000  0.500  -0.01
Tl  0.500  0.000  0.000  -0.03
P  0.000  0.000  0.000  0.02

First-principles (PBE) data for a geometry-optimized Y2AlSb structure, as listed in Alexandria via LeMat-Bulk.

## Properties
Calculated volume   25.52 Å³/atom
E   -5.754 eV per atom
Space group   Cmmm
Raw formation energy   -53.65 kJ/mol of atoms

Lattice parameters (Å, degrees): 5.308 5.308 3.718 90.04 90.04 102.97
Last column: magnetic moment on the atom in μB.
Atoms (fractional coordinates):
Y  0.000  0.000  0.000  0.12
Y  0.500  0.500  0.000  0.12
Sb  0.000  0.500  0.500  0.00
Al  0.500  0.000  0.500  0.00

Question: calculated volume of number 5 (CsTl2ReP)?
Answer: 39.91 Å³/atom